# 1
This record from the Alexandria database describes a relaxed FeC2O6 crystal. The functional is GGA+U.

Computed properties:
Its energy above the most stable polymorph in this dataset is 80 meV per atom. The value obtained for the calculated total energy is -7.08 eV per atom. The value obtained for the size of the total moment is 0.67 μB/atom.

a = 6.1205 Å, b = 6.1205 Å, c = 6.2161 Å
α = 108.18°, β = 108.18°, γ = 89.33°
Sites, in units of the cell vectors:
Fe 0.0901 0.9099 0.7500
Fe 0.9099 0.0901 0.2500
C 0.1221 0.4074 0.7879
C 0.4074 0.1221 0.2879
C 0.5926 0.8779 0.7121
C 0.8779 0.5926 0.2121
O 0.0285 0.2007 0.6333
O 0.0578 0.5875 0.7287
O 0.2007 0.0285 0.1333
O 0.2634 0.4245 0.9888
O 0.4125 0.9422 0.7713
O 0.4245 0.2634 0.4888
O 0.5755 0.7366 0.5112
O 0.5875 0.0578 0.2287
O 0.7366 0.5755 0.0112
O 0.7993 0.9715 0.8667
O 0.9422 0.4125 0.2713
O 0.9715 0.7993 0.3667



# 2
This record from the Alexandria database describes a relaxed FeC5O5 crystal. The functional is GGA+U.

Computed properties:
The value obtained for the calculated total energy is -7.38 eV per atom. The value obtained for the size of the total moment is 0.00 μB/atom.

a = 7.0942 Å, b = 7.0942 Å, c = 9.9254 Å
α = 105.74°, β = 105.74°, γ = 59.96°
Sites, in units of the cell vectors:
Fe 0.1697 0.8303 0.7500
Fe 0.8303 0.1697 0.2500
C 0.0425 0.7088 0.8118
C 0.0834 0.9166 0.2500
C 0.2223 0.6199 0.5966
C 0.2912 0.9575 0.6882
C 0.3801 0.7777 0.9034
C 0.6199 0.2223 0.0966
C 0.7088 0.0425 0.3118
C 0.7777 0.3801 0.4034
C 0.9166 0.0834 0.7500
C 0.9575 0.2912 0.1882
O 0.0396 0.3671 0.1487
O 0.2470 0.7530 0.2500
O 0.2558 0.4839 0.4969
O 0.3671 0.0396 0.6487
O 0.4839 0.2558 0.9969
O 0.5161 0.7442 0.0031
O 0.6329 0.9604 0.3513
O 0.7442 0.5161 0.5031
O 0.7530 0.2470 0.7500
O 0.9604 0.6329 0.8513



# 3
This record from the Alexandria database describes a relaxed FeCO3 crystal. The functional is GGA+U.

Computed properties:
The value obtained for the calculated total energy is -7.26 eV per atom. The value obtained for the size of the total moment is 0.80 μB/atom.

a = 5.1998 Å, b = 5.1998 Å, c = 6.6122 Å
α = 123.74°, β = 123.74°, γ = 56.29°
Sites, in units of the cell vectors:
Fe 0.1326 0.8674 0.5000
Fe 0.8674 0.1326 0.0000
C 0.4842 0.7117 0.1855
C 0.7117 0.4842 0.6855
O 0.2641 0.9540 0.2960
O 0.3882 0.5447 0.9427
O 0.5447 0.3882 0.4427
O 0.6309 0.8025 0.8206
O 0.8025 0.6309 0.3206
O 0.9540 0.2641 0.7960



# 4
This record from the Alexandria database describes a relaxed FeCO3 crystal. The functional is GGA+U.

Computed properties:
The value obtained for the calculated total energy is -7.41 eV per atom. The value obtained for the size of the total moment is 0.80 μB/atom.

a = 4.7420 Å, b = 4.7420 Å, c = 5.8618 Å
α = 113.47°, β = 113.47°, γ = 60.54°
Sites, in units of the cell vectors:
Fe 0.0000 0.5000 0.0000
Fe 0.5000 0.0000 0.5000
C 0.2482 0.7518 0.7500
C 0.7518 0.2482 0.2500
O 0.0230 0.9770 0.2500
O 0.2472 0.4792 0.7519
O 0.4792 0.2472 0.2519
O 0.5208 0.7528 0.7481
O 0.7528 0.5208 0.2481
O 0.9770 0.0230 0.7500



# 5
This record from the Alexandria database describes a relaxed FeCO3 crystal. The functional is GGA+U.

Computed properties:
The value obtained for the calculated total energy is -4.94 eV per atom. The value obtained for the size of the total moment is 0.81 μB/atom.

a = 3.6918 Å, b = 3.6918 Å, c = 3.6918 Å
α = 90.00°, β = 90.00°, γ = 90.00°
Sites, in units of the cell vectors:
Fe 0.0000 0.0000 0.0000
C 0.5000 0.5000 0.5000
O 0.0000 0.0000 0.5000
O 0.0000 0.5000 0.0000
O 0.5000 0.0000 0.0000



# 6
This record from the Alexandria database describes a relaxed FeC2O6 crystal. The functional is GGA+U.

Computed properties:
Its energy above the most stable polymorph in this dataset is 628 meV per atom. The value obtained for the calculated total energy is -6.53 eV per atom. The value obtained for the size of the total moment is 0.63 μB/atom.

a = 5.2462 Å, b = 5.2462 Å, c = 10.4318 Å
α = 111.88°, β = 111.88°, γ = 61.17°
Sites, in units of the cell vectors:
Fe 0.1244 0.8756 0.7500
Fe 0.8756 0.1244 0.2500
C 0.3343 0.5832 0.1675
C 0.4168 0.6657 0.3325
C 0.5832 0.3343 0.6675
C 0.6657 0.4168 0.8325
O 0.0752 0.3241 0.2500
O 0.0948 0.7651 0.1064
O 0.2349 0.9052 0.3936
O 0.3241 0.0752 0.7500
O 0.3402 0.5128 0.6064
O 0.4872 0.6598 0.8936
O 0.5128 0.3402 0.1064
O 0.6598 0.4872 0.3936
O 0.6759 0.9248 0.2500
O 0.7651 0.0948 0.6064
O 0.9052 0.2349 0.8936
O 0.9248 0.6759 0.7500



# 7
This record from the Alexandria database describes a relaxed FeCO2 crystal. The functional is GGA+U.

Computed properties:
The value obtained for the calculated total energy is -5.50 eV per atom. The value obtained for the size of the total moment is 1.00 μB/atom.

a = 5.5523 Å, b = 5.5523 Å, c = 5.5523 Å
α = 132.14°, β = 132.14°, γ = 70.01°
Sites, in units of the cell vectors:
Fe 0.0000 0.0000 0.0000
Fe 0.7500 0.2500 0.5000
C 0.2500 0.7500 0.5000
C 0.5000 0.5000 0.0000
O 0.1430 0.6250 0.0180
O 0.3750 0.3930 0.5180
O 0.6070 0.1250 0.9820
O 0.8750 0.8570 0.4820



# 8
This record from the Alexandria database describes a relaxed FeC2O6 crystal. The functional is GGA+U.

Computed properties:
Its energy above the most stable polymorph in this dataset is 0 meV per atom. The value obtained for the calculated total energy is -7.16 eV per atom. The value obtained for the size of the total moment is 0.44 μB/atom.

a = 6.2837 Å, b = 6.2837 Å, c = 6.2837 Å
α = 44.78°, β = 44.78°, γ = 44.78°
Sites, in units of the cell vectors:
Fe 0.0000 0.0000 0.0000
C 0.2655 0.2655 0.2655
C 0.7345 0.7345 0.7345
O 0.0175 0.2261 0.5510
O 0.2261 0.5510 0.0175
O 0.4490 0.9825 0.7739
O 0.5510 0.0175 0.2261
O 0.7739 0.4490 0.9825
O 0.9825 0.7739 0.4490



# 9
This record from the Alexandria database describes a relaxed FeP2CO crystal. The functional is GGA+U.

Computed properties:
Its energy above the most stable polymorph in this dataset is 438 meV per atom. The value obtained for the calculated total energy is -4.59 eV per atom. The value obtained for the size of the total moment is 0.41 μB/atom.

a = 4.5525 Å, b = 4.5525 Å, c = 3.4696 Å
α = 90.00°, β = 90.00°, γ = 90.00°
Sites, in units of the cell vectors:
Fe 0.0000 0.0000 0.0000
P 0.0000 0.5000 0.0000
P 0.5000 0.0000 0.0000
C 0.5000 0.5000 0.5000
O 0.0000 0.0000 0.5000



# 10
This record from the Alexandria database describes a relaxed FeP2CO crystal. The functional is GGA+U.

Computed properties:
Its energy above the most stable polymorph in this dataset is 0 meV per atom. The value obtained for the calculated total energy is -5.03 eV per atom. The value obtained for the size of the total moment is 0.62 μB/atom.

a = 3.9420 Å, b = 3.9420 Å, c = 3.7765 Å
α = 90.00°, β = 90.00°, γ = 90.00°
Sites, in units of the cell vectors:
Fe 0.0000 0.0000 0.0000
P 0.0000 0.5000 0.5000
P 0.5000 0.0000 0.5000
C 0.5000 0.5000 0.5000
O 0.5000 0.5000 0.0000



# 11
This record from the Alexandria database describes a relaxed Fe3PbC4O12 crystal. The functional is GGA+U.

Computed properties:
The value obtained for the calculated total energy is -7.28 eV per atom. The value obtained for the size of the total moment is 0.60 μB/atom.

a = 6.2981 Å, b = 6.2981 Å, c = 6.2981 Å
α = 102.31°, β = 102.31°, γ = 102.31°
Sites, in units of the cell vectors:
Fe 0.0000 0.5411 0.4589
Fe 0.4589 0.0000 0.5411
Fe 0.5411 0.4589 0.0000
Pb 0.0000 0.0000 0.0000
C 0.0425 0.5000 0.9575
C 0.5000 0.5000 0.5000
C 0.5000 0.9575 0.0425
C 0.9575 0.0425 0.5000
O 0.0193 0.6091 0.8056
O 0.0905 0.9095 0.5000
O 0.1944 0.3909 0.9807
O 0.3672 0.6328 0.5000
O 0.3909 0.9807 0.1944
O 0.5000 0.0905 0.9095
O 0.5000 0.3672 0.6328
O 0.6091 0.8056 0.0193
O 0.6328 0.5000 0.3672
O 0.8056 0.0193 0.6091
O 0.9095 0.5000 0.0905
O 0.9807 0.1944 0.3909



# 12
This record from the Alexandria database describes a relaxed Fe2PbC2O7 crystal. The functional is GGA+U.

Computed properties:
The value obtained for the calculated total energy is -6.82 eV per atom. The value obtained for the size of the total moment is 0.67 μB/atom.

a = 9.3752 Å, b = 9.3752 Å, c = 9.3752 Å
α = 31.69°, β = 31.69°, γ = 31.69°
Sites, in units of the cell vectors:
Fe 0.0681 0.0681 0.0681
Fe 0.9319 0.9319 0.9319
Pb 0.5000 0.5000 0.5000
C 0.2274 0.2274 0.2274
C 0.7726 0.7726 0.7726
O 0.0000 0.0000 0.0000
O 0.0114 0.5063 0.8028
O 0.1972 0.4937 0.9886
O 0.4937 0.9886 0.1972
O 0.5063 0.8028 0.0114
O 0.8028 0.0114 0.5063
O 0.9886 0.1972 0.4937